This record from Alexandria via LeMat-Bulk describes a relaxed structure of SrSiOs2. The functional is PBE.

Cell lengths 6.0943, 8.2943, 2.7504 Å; angles 90.00, 90.00, 90.00 degrees
Space group Cmmm (No. 65)
Unique sites:
Sr (0.0000, 0.0000, 0.0000) [2 per cell]
Si (0.0000, 0.5000, 0.0000) [2 per cell]
Os (0.2500, 0.2500, 0.5000) [4 per cell]

---

This record from Alexandria via LeMat-Bulk describes a relaxed structure of SrSiOs2. The functional is PBE.

Cell lengths 3.1063, 3.1063, 25.3420 Å; angles 90.00, 90.00, 120.00 degrees
Space group R-3m (No. 166, hexagonal axes)
Unique sites:
Sr (0.0000, 0.0000, 0.0000) [3 per cell]
Si (0.0000, 0.0000, 0.5000) [3 per cell]
Os (0.0000, 0.0000, 0.2322) [6 per cell]

---

This record from Alexandria via LeMat-Bulk describes a relaxed structure of Sr2Si4Os3. The functional is PBE.

Cell lengths 5.6862, 9.9408, 12.3084 Å; angles 90.00, 90.00, 90.00 degrees
Space group Fmmm (No. 69)
Unique sites:
Sr (0.0000, 0.0000, 0.1385) [8 per cell]
Si (0.0000, 0.1820, 0.3508) [16 per cell]
Os (0.0000, 0.0000, 0.5000) [4 per cell]
Os (0.2500, 0.2500, 0.0000) [8 per cell]

---

This record from Alexandria via LeMat-Bulk describes a relaxed structure of Sr2SiOs. The functional is PBE.

Cell lengths 6.8668, 9.0431, 3.0523 Å; angles 90.00, 90.00, 90.00 degrees
Space group Cmmm (No. 65)
Unique sites:
Sr (0.2500, 0.2500, 0.0000) [4 per cell]
Si (0.0000, 0.0000, 0.5000) [2 per cell]
Os (0.0000, 0.5000, 0.5000) [2 per cell]

---

This record from Alexandria via LeMat-Bulk describes a relaxed structure of SrSiOs2. The functional is PBE.

Cell lengths 3.0319, 3.0319, 7.6630 Å; angles 90.00, 90.00, 90.00 degrees
Space group P4/mmm (No. 123)
Unique sites:
Sr (0.0000, 0.0000, 0.0000) [1 per cell]
Si (0.0000, 0.0000, 0.5000) [1 per cell]
Os (0.5000, 0.5000, 0.3252) [2 per cell]

---

This record from Alexandria via LeMat-Bulk describes a relaxed structure of Sr2SiOs. The functional is PBE.

Cell lengths 4.1495, 4.7584, 11.3103 Å; angles 90.00, 90.00, 90.00 degrees
Space group Amm2 (No. 38)
Unique sites:
Sr (0.0000, 0.0000, 0.0000) [2 per cell]
Sr (0.5000, 0.0000, 0.2854) [2 per cell]
Si (0.5000, 0.0000, 0.5936) [2 per cell]
Os (0.0000, 0.0000, 0.6891) [2 per cell]

---

Number 1: uncorrected energy -6.345 eV/atom, volume 139.0 Å³ per cell, total magnetization 0.00 μB per formula unit. Number 2: uncorrected energy -6.839 eV/atom, volume 211.8 Å³ per cell, total magnetization 0.00 μB per formula unit. Number 3: uncorrected energy -6.637 eV/atom, volume 695.7 Å³ per cell, total magnetization 1.28 μB per formula unit. Number 4: uncorrected energy -4.433 eV/atom, volume 189.5 Å³ per cell, total magnetization 0.00 μB per formula unit. Number 5: uncorrected energy -7.056 eV/atom, volume 70.4 Å³ per cell, total magnetization 0.00 μB per formula unit. Number 6: uncorrected energy -5.111 eV/atom, volume 223.3 Å³ per cell, total magnetization 0.00 μB per formula unit.